[1]
Material: Ba2BeZn
Method: DFT, GGA-PBE
State: relaxed

a = 6.3010 Å, b = 6.3010 Å, c = 6.3010 Å
α = 142.46°, β = 125.66°, γ = 67.92°
Closest atoms and distances in Å follow each position.
Fractional coordinates of all 4 atoms:
Be  0.4290  0.4290  0.0000  2 Zn 2.30
Ba  0.0306  0.0306  0.0000  4 Ba 3.46-3.87, 4 Zn 3.59-3.69, 4 Be 3.68
Ba  0.7150  0.2150  0.5000  4 Ba 3.46-3.87, 4 Be 3.61-3.64, 4 Zn 3.70
Zn  0.3255  0.8255  0.5000  2 Be 2.30

Properties
As for the space group: Imm2. The calculation puts the volume at 30.487 Å³/atom. The formation enthalpy at 0 K is 185 meV/atom. The value obtained for the theoretical density is 4.75 g/cm³.

=====

[2]
Material: BaBeZn
Method: DFT, GGA-PBE
State: relaxed

a = 6.4681 Å, b = 6.4686 Å, c = 3.3738 Å
α = 74.89°, β = 74.90°, γ = 30.22°
Closest atoms and distances in Å follow each position.
Fractional coordinates of all 3 atoms:
Zn  0.7206  0.7206  0.2793  4 Be 2.50
Be  0.2821  0.2821  0.7183  4 Zn 2.50
Ba  0.9973  0.9973  0.0024  5 Zn 3.33-3.59, 4 Ba 3.37, 5 Be 3.42-3.52

Properties
As for the space group: I4mm. The calculation puts the volume at 22.807 Å³/atom. The formation enthalpy at 0 K is 357 meV/atom. The value obtained for the theoretical density is 5.14 g/cm³.

=====

[3]
Material: Ba2BeZn
Method: DFT, GGA-PBE
State: relaxed

a = 8.7908 Å, b = 8.7908 Å, c = 7.3800 Å
α = 53.45°, β = 53.45°, γ = 90.00°
Closest atoms and distances in Å follow each position.
Fractional coordinates of all 8 atoms:
Ba  0.8750  0.8570  0.7500  2 Be 3.16, 2 Zn 3.37
Ba  0.1430  0.6250  0.2500  2 Be 3.16, 2 Zn 3.37
Ba  0.6070  0.1250  0.2500  2 Be 3.16, 2 Zn 3.37
Ba  0.3750  0.3930  0.7500  2 Be 3.16, 2 Zn 3.37
Be  0.2500  0.7500  0.5000  4 Ba 3.16
Be  0.5000  0.5000  0.0000  4 Ba 3.16
Zn  0.0000  0.0000  0.0000  4 Ba 3.37
Zn  0.7500  0.2500  0.5000  4 Ba 3.37

Properties
As for the space group: I-42d. The calculation puts the volume at 38.427 Å³/atom. The formation enthalpy at 0 K is 533 meV/atom. The value obtained for the theoretical density is 3.77 g/cm³.

=====

[4]
Material: BaBe2Zn
Method: DFT, GGA-PBE
State: relaxed

a = 4.1603 Å, b = 4.2107 Å, c = 5.2722 Å
α = 89.98°, β = 90.00°, γ = 90.00°
Closest atoms and distances in Å follow each position.
Fractional coordinates of all 4 atoms:
Be  0.0000  0.0055  0.2502  2 Be 2.06-2.15
Be  0.0000  0.4945  0.2498  2 Be 2.06-2.15
Ba  0.5000  0.7500  0.7500  4 Zn 3.37, 8 Be 3.53
Zn  0.5000  0.2500  0.2500  4 Be 2.32

Properties
As for the space group: Pmmm. The calculation puts the volume at 23.089 Å³/atom. The formation enthalpy at 0 K is 223 meV/atom. The value obtained for the theoretical density is 3.97 g/cm³.

=====

[5]
Material: BaBeZn
Method: DFT, GGA-PBE
State: relaxed

a = 4.9398 Å, b = 4.9398 Å, c = 4.9398 Å
α = 60.00°, β = 60.00°, γ = 60.00°
Closest atoms and distances in Å follow each position.
Fractional coordinates of all 3 atoms:
Zn  0.0000  0.0000  0.0000  4 Be 3.02
Ba  0.5000  0.5000  0.5000  4 Be 3.02
Be  0.7500  0.7500  0.7500  4 Ba 3.02, 4 Zn 3.02

Properties
As for the space group: F-43m. The calculation puts the volume at 28.411 Å³/atom. The formation enthalpy at 0 K is 506 meV/atom. The value obtained for the theoretical density is 4.13 g/cm³.

=====

[6]
Material: Ba3BeZn
Method: DFT, GGA-PBE
State: relaxed

a = 6.2160 Å, b = 6.2160 Å, c = 6.2160 Å
α = 90.00°, β = 90.00°, γ = 90.00°
Closest atoms and distances in Å follow each position.
Fractional coordinates of all 5 atoms:
Zn  0.5000  0.5000  0.5000  12 Ba 4.40
Be  0.0000  0.0000  0.0000  6 Ba 3.11
Ba  0.5000  0.0000  0.0000  2 Be 3.11
Ba  0.0000  0.0000  0.5000  2 Be 3.11
Ba  0.0000  0.5000  0.0000  2 Be 3.11

Properties
As for the space group: Pm-3m. The calculation puts the volume at 48.035 Å³/atom. The formation enthalpy at 0 K is 443 meV/atom. The value obtained for the theoretical density is 3.36 g/cm³.

=====

[7]
Material: Ba2BeZn
Method: DFT, GGA-PBE
State: relaxed

a = 5.4325 Å, b = 5.4327 Å, c = 5.4419 Å
α = 119.94°, β = 119.94°, γ = 90.00°
Closest atoms and distances in Å follow each position.
Fractional coordinates of all 4 atoms:
Be  0.4998  0.5002  0.0000  4 Ba 3.33, 4 Zn 3.33
Ba  0.2502  0.7498  0.5000  4 Ba 3.33, 4 Be 3.33
Ba  0.9999  0.0001  0.0000  4 Ba 3.33, 4 Zn 3.33
Zn  0.7501  0.2499  0.5000  4 Be 3.33, 4 Ba 3.33

Properties
As for the space group: I-4m2. The calculation puts the volume at 28.440 Å³/atom. The formation enthalpy at 0 K is 391 meV/atom. The value obtained for the theoretical density is 5.10 g/cm³.

=====

[8]
Material: BaBeZn
Method: DFT, GGA-PBE
State: relaxed

a = 4.2755 Å, b = 5.3549 Å, c = 8.0690 Å
α = 70.62°, β = 90.00°, γ = 90.00°
Closest atoms and distances in Å follow each position.
Fractional coordinates of all 6 atoms:
Zn  0.7500  0.8655  0.2690  2 Be 2.31
Zn  0.2500  0.1345  0.7310  2 Be 2.31
Be  0.5000  0.0000  0.0000  2 Be 2.14, 2 Zn 2.31
Be  0.0000  0.0000  0.0000  2 Be 2.14, 2 Zn 2.31
Ba  0.2500  0.3691  0.2619  5 Zn 3.43-3.57, 4 Be 3.50
Ba  0.7500  0.6309  0.7381  5 Zn 3.43-3.57, 4 Be 3.50

Properties
As for the space group: Cmcm. The calculation puts the volume at 29.045 Å³/atom. The formation enthalpy at 0 K is 187 meV/atom. The value obtained for the theoretical density is 4.04 g/cm³.

=====

[9]
Material: BaBeZn2
Method: DFT, GGA-PBE
State: relaxed

a = 5.2948 Å, b = 5.2949 Å, c = 5.2985 Å
α = 131.05°, β = 110.54°, γ = 89.52°
Closest atoms and distances in Å follow each position.
Fractional coordinates of all 4 atoms:
Zn  0.0450  0.0450  0.0000  2 Be 2.30
Zn  0.8266  0.3266  0.5000  1 Be 2.34
Ba  0.4900  0.4900  0.0000  4 Be 3.22-3.44, 5 Zn 3.26-3.35
Be  0.1384  0.6384  0.5000  3 Zn 2.30-2.34

Properties
As for the space group: Imm2. The calculation puts the volume at 24.894 Å³/atom. The formation enthalpy at 0 K is 219 meV/atom. The value obtained for the theoretical density is 4.62 g/cm³.

=====

[10]
Material: BaBeZn2
Method: DFT, GGA-PBE
State: relaxed

a = 5.3439 Å, b = 5.3439 Å, c = 8.1711 Å
α = 70.91°, β = 70.91°, γ = 90.00°
Closest atoms and distances in Å follow each position.
Fractional coordinates of all 8 atoms:
Zn  0.3751  0.6250  0.2500  2 Be 2.25
Zn  0.3750  0.6251  0.7500  2 Be 2.25
Zn  0.3749  0.1250  0.2500  2 Be 2.25
Zn  0.8750  0.6249  0.7500  2 Be 2.25
Ba  0.7500  0.2500  0.5000  8 Zn 3.49, 4 Be 3.78
Ba  0.0000  0.0000  0.0000  8 Zn 3.49, 4 Be 3.78
Be  0.5000  0.5000  0.0000  4 Zn 2.25
Be  0.2500  0.7500  0.5000  4 Zn 2.25

Properties
As for the space group: I4_1/amd. The calculation puts the volume at 25.862 Å³/atom. The formation enthalpy at 0 K is 97 meV/atom. The value obtained for the theoretical density is 4.45 g/cm³.

=====

[11]
Material: BaBe2Zn
Method: DFT, GGA-PBE
State: relaxed

a = 3.2815 Å, b = 3.2815 Å, c = 7.2198 Å
α = 90.00°, β = 90.00°, γ = 84.14°
Closest atoms and distances in Å follow each position.
Fractional coordinates of all 4 atoms:
Zn  0.5000  0.5000  0.2500  8 Be 2.46-2.67
Be  0.0000  0.0000  0.0985  1 Be 2.19
Be  0.0000  0.0000  0.4015  1 Be 2.19
Ba  0.5000  0.5000  0.7500  4 Ba 3.28, 8 Be 3.34-3.50, 2 Zn 3.61

Properties
As for the space group: Cmmm. The calculation puts the volume at 19.335 Å³/atom. The formation enthalpy at 0 K is 533 meV/atom. The value obtained for the theoretical density is 4.74 g/cm³.

=====

[12]
Material: BaBeZn2
Method: DFT, GGA-PBE
State: relaxed

a = 5.3567 Å, b = 5.3567 Å, c = 5.3567 Å
α = 134.56°, β = 111.45°, γ = 86.13°
Closest atoms and distances in Å follow each position.
Fractional coordinates of all 4 atoms:
Be  0.2500  0.7500  0.5000  4 Zn 2.44
Zn  0.4164  0.4164  0.0000  2 Be 2.44, 1 Zn 2.60
Zn  0.0836  0.0836  0.0000  2 Be 2.44, 1 Zn 2.60
Ba  0.7500  0.2500  0.5000  8 Zn 3.29-3.33, 4 Be 3.66

Properties
As for the space group: Immm. The calculation puts the volume at 24.421 Å³/atom. The formation enthalpy at 0 K is 231 meV/atom. The value obtained for the theoretical density is 4.71 g/cm³.

=====

[13]
Material: Ba2BeZn
Method: DFT, GGA-PBE
State: relaxed

a = 3.8684 Å, b = 3.8684 Å, c = 9.1128 Å
α = 90.00°, β = 90.00°, γ = 90.02°
Closest atoms and distances in Å follow each position.
Fractional coordinates of all 4 atoms:
Ba  0.5000  0.5000  0.3396  1 Zn 3.17, 4 Be 3.40
Ba  0.0000  0.0000  0.9122  1 Be 3.20, 4 Zn 3.42
Zn  0.5000  0.5000  0.6873  4 Be 2.97, 1 Ba 3.17
Be  0.0000  0.0000  0.5609  4 Zn 2.97, 1 Ba 3.20

Properties
As for the space group: P4mm. The calculation puts the volume at 34.092 Å³/atom. The formation enthalpy at 0 K is 342 meV/atom. The value obtained for the theoretical density is 4.25 g/cm³.

=====

[14]
Material: BaBeZn2
Method: DFT, GGA-PBE
State: relaxed

a = 3.3992 Å, b = 3.3992 Å, c = 7.4394 Å
α = 90.00°, β = 90.00°, γ = 91.86°
Closest atoms and distances in Å follow each position.
Fractional coordinates of all 4 atoms:
Be  0.5000  0.5000  0.8483  5 Zn 2.40-2.59
Ba  0.0000  0.0000  0.5148  5 Zn 3.35-3.53, 4 Ba 3.40, 4 Be 3.43-3.48
Zn  0.0000  0.0000  0.9655  4 Be 2.52-2.59, 2 Zn 2.82
Zn  0.5000  0.5000  0.1715  1 Be 2.40

Properties
As for the space group: Cmm2. The calculation puts the volume at 21.478 Å³/atom. The formation enthalpy at 0 K is 288 meV/atom. The value obtained for the theoretical density is 5.36 g/cm³.

=====

[15]
Material: BaBe2Zn
Method: DFT, GGA-PBE
State: relaxed

a = 6.4053 Å, b = 6.4053 Å, c = 6.4053 Å
α = 36.31°, β = 36.31°, γ = 36.31°
Closest atoms and distances in Å follow each position.
Fractional coordinates of all 4 atoms:
Ba  0.7490  0.7490  0.7490  4 Be 3.24-3.57, 4 Zn 3.25-3.57
Be  0.2533  0.2533  0.2533  3 Be 2.31, 3 Zn 2.33
Be  0.9299  0.9299  0.9299  3 Be 2.31, 3 Zn 2.36
Zn  0.5679  0.5679  0.5679  6 Be 2.33-2.36

Properties
As for the space group: R3m. The calculation puts the volume at 20.614 Å³/atom. The formation enthalpy at 0 K is 96 meV/atom. The value obtained for the theoretical density is 4.45 g/cm³.